# PaTaCrC3

An optimized crystal structure of PaTaCrC3 (PBE-GGA, the Alexandria database).

```
data_PaTaCrC3
_chemical_formula_sum 'Pa2 Ta2 Cr2 C6'
_symmetry_space_group_name_H-M 'P 1 21/m 1'
_symmetry_Int_Tables_number 11
_cell_length_a 6.947
_cell_length_b 3.222
_cell_length_c 7.371
_cell_angle_alpha 90.00
_cell_angle_beta 103.30
_cell_angle_gamma 90.00
loop_
_symmetry_equiv_pos_as_xyz
'x,y,z'
'-x,-y,-z'
'-x,y+1/2,-z'
'x,-y+1/2,z'
loop_
_atom_site_label
_atom_site_type_symbol
_atom_site_fract_x
_atom_site_fract_y
_atom_site_fract_z
Pa1 Pa 0.185 0.250 0.201
Ta1 Ta 0.351 0.750 0.857
Cr1 Cr 0.103 0.250 0.601
C1 C 0.118 0.250 0.863
C2 C 0.192 0.750 0.500
C3 C 0.432 0.750 0.160
```

Computed properties:
Energy (eV/cell): -119.62
DFT formation energy (eV per atom): -0.195

---

# PaTa2CrC4

An optimized crystal structure of PaTa2CrC4 (PBE-GGA, the Alexandria database).

```
data_PaTa2CrC4
_chemical_formula_sum 'Pa4 Ta8 Cr4 C16'
_symmetry_space_group_name_H-M 'C m c m'
_symmetry_Int_Tables_number 63
_symmetry_space_group_name_Hall '-C 2c 2'
_cell_length_a 3.236
_cell_length_b 11.124
_cell_length_c 10.815
_cell_angle_alpha 90.00
_cell_angle_beta 90.00
_cell_angle_gamma 90.00
loop_
_atom_site_label
_atom_site_type_symbol
_atom_site_fract_x
_atom_site_fract_y
_atom_site_fract_z
Pa1 Pa 0.000 0.103 0.250
Ta1 Ta 0.000 0.372 0.044
Cr1 Cr 0.000 0.160 0.750
C1 C 0.000 0.000 0.000
C2 C 0.000 0.266 0.618
C3 C 0.000 0.438 0.250
```

Computed properties:
Energy (eV/cell): -332.04
DFT formation energy (eV per atom): -0.411

---

# Tb2PaCrC4

An optimized crystal structure of Tb2PaCrC4 (PBE-GGA, the Alexandria database).

```
data_Tb2PaCrC4
_chemical_formula_sum 'Tb8 Pa4 Cr4 C16'
_symmetry_space_group_name_H-M 'C m c m'
_symmetry_Int_Tables_number 63
_symmetry_space_group_name_Hall '-C 2c 2'
_cell_length_a 3.445
_cell_length_b 11.574
_cell_length_c 12.099
_cell_angle_alpha 90.00
_cell_angle_beta 90.00
_cell_angle_gamma 90.00
loop_
_atom_site_label
_atom_site_type_symbol
_atom_site_fract_x
_atom_site_fract_y
_atom_site_fract_z
Tb1 Tb 0.000 0.132 0.044
Pa1 Pa 0.000 0.408 0.250
Cr1 Cr 0.000 0.328 0.750
C1 C 0.000 0.072 0.250
C2 C 0.000 0.225 0.640
C3 C 0.000 0.500 0.000
```

Computed properties:
Energy (eV/cell): -262.63
DFT formation energy (eV per atom): -0.048

---

# Tb2PaCr2C4

An optimized crystal structure of Tb2PaCr2C4 (PBE-GGA, the Alexandria database).

```
data_Tb2PaCr2C4
_chemical_formula_sum 'Tb4 Pa2 Cr4 C8'
_symmetry_space_group_name_H-M 'C 1 2/m 1'
_symmetry_Int_Tables_number 12
_cell_length_a 12.914
_cell_length_b 3.431
_cell_length_c 6.084
_cell_angle_alpha 90.00
_cell_angle_beta 110.25
_cell_angle_gamma 90.00
loop_
_symmetry_equiv_pos_as_xyz
'x,y,z'
'-x,-y,-z'
'-x,y,-z'
'x,-y,z'
'x+1/2,y+1/2,z'
'-x+1/2,-y+1/2,-z'
'-x+1/2,y+1/2,-z'
'x+1/2,-y+1/2,z'
loop_
_atom_site_label
_atom_site_type_symbol
_atom_site_fract_x
_atom_site_fract_y
_atom_site_fract_z
Tb1 Tb 0.137 0.000 0.046
Pa1 Pa 0.000 0.000 0.500
Cr1 Cr 0.183 0.500 0.486
C1 C 0.037 0.500 0.251
C2 C 0.217 0.000 0.697
```

Computed properties:
Energy (eV/cell): -151.97
DFT formation energy (eV per atom): -0.121

---

# Pa2Cr2TcC4

An optimized crystal structure of Pa2Cr2TcC4 (PBE-GGA, the Alexandria database).

```
data_Pa2Cr2TcC4
_chemical_formula_sum 'Pa4 Cr4 Tc2 C8'
_symmetry_space_group_name_H-M 'C 1 2/m 1'
_symmetry_Int_Tables_number 12
_cell_length_a 13.330
_cell_length_b 3.075
_cell_length_c 5.508
_cell_angle_alpha 90.00
_cell_angle_beta 102.63
_cell_angle_gamma 90.00
loop_
_symmetry_equiv_pos_as_xyz
'x,y,z'
'-x,-y,-z'
'-x,y,-z'
'x,-y,z'
'x+1/2,y+1/2,z'
'-x+1/2,-y+1/2,-z'
'-x+1/2,y+1/2,-z'
'x+1/2,-y+1/2,z'
loop_
_atom_site_label
_atom_site_type_symbol
_atom_site_fract_x
_atom_site_fract_y
_atom_site_fract_z
Pa1 Pa 0.125 0.000 0.022
Cr1 Cr 0.177 0.500 0.532
Tc1 Tc 0.000 0.000 0.500
C1 C 0.042 0.500 0.269
C2 C 0.243 0.000 0.736
```

Computed properties:
Energy (eV/cell): -174.92
DFT formation energy (eV per atom): -0.218

---

# PaTi2CrC4

An optimized crystal structure of PaTi2CrC4 (PBE-GGA, the Alexandria database).

```
data_PaTi2CrC4
_chemical_formula_sum 'Pa4 Ti8 Cr4 C16'
_symmetry_space_group_name_H-M 'C m c m'
_symmetry_Int_Tables_number 63
_symmetry_space_group_name_Hall '-C 2c 2'
_cell_length_a 3.183
_cell_length_b 11.052
_cell_length_c 10.687
_cell_angle_alpha 90.00
_cell_angle_beta 90.00
_cell_angle_gamma 90.00
loop_
_atom_site_label
_atom_site_type_symbol
_atom_site_fract_x
_atom_site_fract_y
_atom_site_fract_z
Pa1 Pa 0.000 0.102 0.250
Ti1 Ti 0.000 0.372 0.042
Cr1 Cr 0.000 0.163 0.750
C1 C 0.000 0.000 0.000
C2 C 0.000 0.265 0.616
C3 C 0.000 0.436 0.250
```

Computed properties:
Energy (eV/cell): -300.31
DFT formation energy (eV per atom): -0.409

---

# TmPaCrC3

An optimized crystal structure of TmPaCrC3 (PBE-GGA, the Alexandria database).

```
data_TmPaCrC3
_chemical_formula_sum 'Tm4 Pa4 Cr4 C12'
_symmetry_space_group_name_H-M 'C 1 2/m 1'
_symmetry_Int_Tables_number 12
_cell_length_a 13.042
_cell_length_b 3.784
_cell_length_c 6.817
_cell_angle_alpha 90.00
_cell_angle_beta 105.31
_cell_angle_gamma 90.00
loop_
_symmetry_equiv_pos_as_xyz
'x,y,z'
'-x,-y,-z'
'-x,y,-z'
'x,-y,z'
'x+1/2,y+1/2,z'
'-x+1/2,-y+1/2,-z'
'-x+1/2,y+1/2,-z'
'x+1/2,-y+1/2,z'
loop_
_atom_site_label
_atom_site_type_symbol
_atom_site_fract_x
_atom_site_fract_y
_atom_site_fract_z
Tm1 Tm 0.150 0.000 0.080
Pa1 Pa 0.145 0.000 0.571
Cr1 Cr 0.004 0.500 0.788
C1 C 0.002 0.000 0.252
C2 C 0.155 0.500 0.821
C3 C 0.164 0.500 0.348
```

Computed properties:
Energy (eV/cell): -210.53
DFT formation energy (eV per atom): -0.228

---

# Tm2PaCrC4

An optimized crystal structure of Tm2PaCrC4 (PBE-GGA, the Alexandria database).

```
data_Tm2PaCrC4
_chemical_formula_sum 'Tm8 Pa4 Cr4 C16'
_symmetry_space_group_name_H-M 'C m c m'
_symmetry_Int_Tables_number 63
_symmetry_space_group_name_Hall '-C 2c 2'
_cell_length_a 3.409
_cell_length_b 11.496
_cell_length_c 11.803
_cell_angle_alpha 90.00
_cell_angle_beta 90.00
_cell_angle_gamma 90.00
loop_
_atom_site_label
_atom_site_type_symbol
_atom_site_fract_x
_atom_site_fract_y
_atom_site_fract_z
Tm1 Tm 0.000 0.131 0.045
Pa1 Pa 0.000 0.407 0.250
Cr1 Cr 0.000 0.330 0.750
C1 C 0.000 0.072 0.250
C2 C 0.000 0.227 0.636
C3 C 0.000 0.500 0.000
```

Computed properties:
Energy (eV/cell): -264.41
DFT formation energy (eV per atom): -0.143

---

# Tm2PaCr2C4

An optimized crystal structure of Tm2PaCr2C4 (PBE-GGA, the Alexandria database).

```
data_Tm2PaCr2C4
_chemical_formula_sum 'Tm4 Pa2 Cr4 C8'
_symmetry_space_group_name_H-M 'C 1 2/m 1'
_symmetry_Int_Tables_number 12
_cell_length_a 12.710
_cell_length_b 3.366
_cell_length_c 6.026
_cell_angle_alpha 90.00
_cell_angle_beta 110.65
_cell_angle_gamma 90.00
loop_
_symmetry_equiv_pos_as_xyz
'x,y,z'
'-x,-y,-z'
'-x,y,-z'
'x,-y,z'
'x+1/2,y+1/2,z'
'-x+1/2,-y+1/2,-z'
'-x+1/2,y+1/2,-z'
'x+1/2,-y+1/2,z'
loop_
_atom_site_label
_atom_site_type_symbol
_atom_site_fract_x
_atom_site_fract_y
_atom_site_fract_z
Tm1 Tm 0.136 0.000 0.047
Pa1 Pa 0.000 0.000 0.500
Cr1 Cr 0.180 0.500 0.483
C1 C 0.030 0.500 0.230
C2 C 0.219 0.000 0.707
```

Computed properties:
Energy (eV/cell): -151.56
DFT formation energy (eV per atom): -0.133

---

# UPa2CrC4

An optimized crystal structure of UPa2CrC4 (PBE-GGA, the Alexandria database).

```
data_UPa2CrC4
_chemical_formula_sum 'U4 Pa8 Cr4 C16'
_symmetry_space_group_name_H-M 'C m c m'
_symmetry_Int_Tables_number 63
_symmetry_space_group_name_Hall '-C 2c 2'
_cell_length_a 3.396
_cell_length_b 11.559
_cell_length_c 12.016
_cell_angle_alpha 90.00
_cell_angle_beta 90.00
_cell_angle_gamma 90.00
loop_
_atom_site_label
_atom_site_type_symbol
_atom_site_fract_x
_atom_site_fract_y
_atom_site_fract_z
U1 U 0.000 0.099 0.250
Pa1 Pa 0.000 0.364 0.049
Cr1 Cr 0.000 0.163 0.750
C1 C 0.000 0.000 0.000
C2 C 0.000 0.277 0.636
C3 C 0.000 0.439 0.250
```

Computed properties:
Energy (eV/cell): -310.04
DFT formation energy (eV per atom): -0.089

---

# Y2PaCrC4

An optimized crystal structure of Y2PaCrC4 (PBE-GGA, the Alexandria database).

```
data_Y2PaCrC4
_chemical_formula_sum 'Y8 Pa4 Cr4 C16'
_symmetry_space_group_name_H-M 'C m c m'
_symmetry_Int_Tables_number 63
_symmetry_space_group_name_Hall '-C 2c 2'
_cell_length_a 3.441
_cell_length_b 11.563
_cell_length_c 12.028
_cell_angle_alpha 90.00
_cell_angle_beta 90.00
_cell_angle_gamma 90.00
loop_
_atom_site_label
_atom_site_type_symbol
_atom_site_fract_x
_atom_site_fract_y
_atom_site_fract_z
Y1 Y 0.000 0.132 0.045
Pa1 Pa 0.000 0.408 0.250
Cr1 Cr 0.000 0.328 0.750
C1 C 0.000 0.072 0.250
C2 C 0.000 0.226 0.639
C3 C 0.000 0.500 0.000
```

Computed properties:
Energy (eV/cell): -277.98
DFT formation energy (eV per atom): -0.069

---

# ZrPa2CrC4

An optimized crystal structure of ZrPa2CrC4 (PBE-GGA, the Alexandria database).

```
data_ZrPa2CrC4
_chemical_formula_sum 'Zr4 Pa8 Cr4 C16'
_symmetry_space_group_name_H-M 'C m c m'
_symmetry_Int_Tables_number 63
_symmetry_space_group_name_Hall '-C 2c 2'
_cell_length_a 3.422
_cell_length_b 11.240
_cell_length_c 11.906
_cell_angle_alpha 90.00
_cell_angle_beta 90.00
_cell_angle_gamma 90.00
loop_
_atom_site_label
_atom_site_type_symbol
_atom_site_fract_x
_atom_site_fract_y
_atom_site_fract_z
Zr1 Zr 0.000 0.120 0.250
Pa1 Pa 0.000 0.363 0.047
Cr1 Cr 0.000 0.144 0.750
C1 C 0.000 0.000 0.000
C2 C 0.000 0.272 0.640
C3 C 0.000 0.441 0.250
```

Computed properties:
Energy (eV/cell): -299.74
DFT formation energy (eV per atom): -0.110

---

Magnetic moment (Bohr magnetons per cell)
0.00; 0.00; 0.00; 0.00; 0.00; 0.00; 0.00; 0.00; 0.00; 11.50; 0.00; 0.00